(1)
Below is a relaxed Li3MnNb crystal, with properties calculated at the PBE-GGA level.

Structure (CIF):
```
data_Li3MnNb
_cell_length_a 4.720
_cell_length_b 4.720
_cell_length_c 4.720
_cell_angle_alpha 90.00
_cell_angle_beta 90.00
_cell_angle_gamma 90.00
_symmetry_space_group_name_H-M 'P m -3 m'
_symmetry_Int_Tables_number 221
_symmetry_space_group_name_Hall '-P 4 2 3'
loop_
_atom_site_label
_atom_site_type_symbol
_atom_site_fract_x
_atom_site_fract_y
_atom_site_fract_z
Li1 Li 0.000 0.000 0.500
Mn1 Mn 0.500 0.500 0.500
Nb1 Nb 0.000 0.000 0.000
```

(2)
Below is a relaxed LiMn4Nb crystal, with properties calculated at the PBE-GGA level.

Structure (CIF):
```
data_LiMn4Nb
_cell_length_a 6.703
_cell_length_b 6.703
_cell_length_c 6.703
_cell_angle_alpha 90.00
_cell_angle_beta 90.00
_cell_angle_gamma 90.00
_symmetry_space_group_name_H-M 'F -4 3 m'
_symmetry_Int_Tables_number 216
_symmetry_space_group_name_Hall 'F -4 2 3'
loop_
_atom_site_label
_atom_site_type_symbol
_atom_site_fract_x
_atom_site_fract_y
_atom_site_fract_z
Li1 Li 0.000 0.000 0.000
Mn1 Mn 0.126 0.126 0.374
Nb1 Nb 0.250 0.250 0.750
```

(3)
Below is a relaxed LiMn2Nb crystal, with properties calculated at the PBE-GGA level.

Structure (CIF):
```
data_LiMn2Nb
_cell_length_a 6.053
_cell_length_b 6.053
_cell_length_c 6.053
_cell_angle_alpha 90.00
_cell_angle_beta 90.00
_cell_angle_gamma 90.00
_symmetry_space_group_name_H-M 'F m -3 m'
_symmetry_Int_Tables_number 225
_symmetry_space_group_name_Hall '-F 4 2 3'
loop_
_atom_site_label
_atom_site_type_symbol
_atom_site_fract_x
_atom_site_fract_y
_atom_site_fract_z
Li1 Li 0.000 0.000 0.000
Mn1 Mn 0.250 0.250 0.250
Nb1 Nb 0.000 0.000 0.500
```

Summary:
For the distance to the lowest polymorph of the same formula, the calculation gives 0 meV/atom.

Per-record DFT formation energy, eV/atom: 1.97; 0.08; 0.25